Ta2Ir after structural relaxation. Source: Alexandria via LeMat-Bulk, functional GGA-PBE.

```
Ta2Ir
1.0
-0.240 -5.596 -2.708
2.358 -2.590 5.142
-5.753 -0.828 2.221
Ta Ir
8 4
direct
0.865 0.365 0.135 Ta
0.865 0.135 0.635 Ta
0.135 0.635 0.865 Ta
0.135 0.865 0.365 Ta
0.635 0.635 0.635 Ta
0.365 0.135 0.865 Ta
0.635 0.865 0.135 Ta
0.365 0.365 0.365 Ta
0.000 0.000 0.000 Ir
0.500 0.500 0.000 Ir
0.500 0.000 0.500 Ir
0.000 0.500 0.500 Ir
```

Properties
total magnetic moment: 0.00 μB/cell
energy of formation from the pure elements: 0.311 eV/atom
space group: Pa-3
D(E_F): 13.36 states/eV/cell

=====

VTc5 after structural relaxation. Source: Alexandria via LeMat-Bulk, functional GGA-PBE.

```
VTc5
1.0
-1.975 -0.042 -2.248
-0.377 -4.304 0.411
-4.779 3.003 4.142
Tc V
5 1
direct
0.500 0.151 0.302 Tc
0.500 0.849 0.698 Tc
0.000 0.321 0.643 Tc
0.000 0.679 0.357 Tc
0.500 0.500 0.000 Tc
0.000 0.000 0.000 V
```

Properties
total magnetic moment: 0.00 μB/cell
energy of formation from the pure elements: -0.024 eV/atom
space group: Cmmm
D(E_F): 5.02 states/eV/cell

=====

Al3SeN after structural relaxation. Source: Alexandria via LeMat-Bulk, functional GGA-PBE.

```
Al3SeN
1.0
-0.190 -4.134 -2.617
4.211 1.195 -2.194
2.491 -2.335 3.509
Al Se N
3 1 1
direct
0.000 0.000 0.500 Al
0.000 0.500 0.000 Al
0.500 0.000 0.000 Al
0.000 0.000 0.000 Se
0.500 0.500 0.500 N
```

Properties
ΔE to the lowest computed polymorph: 1493 meV per atom
raw formation energy: 1.63 eV/atom
total magnetic moment: 0.00 μB/cell
space group: Pm-3m
D(E_F): 3.06 states/eV/cell

=====

Zn7InAg4 after structural relaxation. Source: Alexandria via LeMat-Bulk, functional GGA-PBE.

```
Zn7InAg4
1.0
4.942 0.000 0.000
2.471 6.764 -1.203
2.471 -0.691 6.584
Ag Zn In
4 7 1
direct
0.318 0.373 0.991 Ag
0.682 0.627 0.009 Ag
0.327 0.866 0.480 Ag
0.673 0.134 0.520 Ag
0.500 0.000 0.000 Zn
0.366 0.565 0.703 Zn
0.634 0.435 0.297 Zn
0.174 0.284 0.367 Zn
0.826 0.716 0.633 Zn
0.998 0.263 0.741 Zn
0.002 0.737 0.259 Zn
0.000 0.000 0.000 In
```

Properties
total magnetic moment: 0.00 μB/cell
energy of formation from the pure elements: 0.121 eV/atom
space group: C2/m
D(E_F): 3.58 states/eV/cell

=====

Tb3SbAsN after structural relaxation. Source: Alexandria via LeMat-Bulk, functional GGA-PBE.

```
Tb3SbAsN
1.0
4.129 0.000 0.000
0.000 8.744 0.879
0.000 -2.447 8.862
N Sb Tb As
2 2 6 2
direct
0.250 0.092 0.596 N
0.750 0.908 0.404 N
0.750 0.831 0.793 Sb
0.250 0.169 0.207 Sb
0.250 0.591 0.856 Tb
0.750 0.153 0.508 Tb
0.250 0.847 0.492 Tb
0.750 0.882 0.167 Tb
0.250 0.118 0.833 Tb
0.750 0.409 0.144 Tb
0.250 0.644 0.168 As
0.750 0.356 0.832 As
```

Properties
raw formation energy: -1.30 eV/atom
total magnetic moment: 0.00 μB/cell
space group: P2_1/m
D(E_F): 0.60 states/eV/cell

=====

V4PdRu5 after structural relaxation. Source: Alexandria via LeMat-Bulk, functional GGA-PBE.

```
V4PdRu5
1.0
-2.989 -0.274 -0.082
0.110 -0.311 -2.985
1.362 -15.378 1.651
V Pd Ru
4 1 5
direct
0.000 0.000 0.798 V
0.000 0.000 0.202 V
0.000 0.000 0.599 V
0.000 0.000 0.401 V
0.000 0.000 0.000 Pd
0.500 0.500 0.306 Ru
0.500 0.500 0.878 Ru
0.500 0.500 0.122 Ru
0.500 0.500 0.694 Ru
0.500 0.500 0.500 Ru
```

Properties
total magnetic moment: 0.00 μB/cell
energy of formation from the pure elements: -0.191 eV/atom
space group: P4/mmm
D(E_F): 8.25 states/eV/cell